First-principles (GGA-PBE) data for an optimized crystal structure of TmAl6Ga, as listed in the Alexandria database.

a b c (Å): 4.835 5.795 5.795
angles (deg): 115.74 90.00 90.00
Fractional positions:
Al1 0.500 0.500 0.000
Al2 0.500 0.000 0.500
Al3 0.000 0.723 0.277
Al4 0.000 0.208 0.208
Al5 0.000 0.792 0.792
Al6 0.000 0.277 0.723
Ga1 0.500 0.000 0.000
Tm1 0.500 0.500 0.500

Values from the calculation:
energy relative to the elements = -0.13 eV/atom
VASP energy = -3.871 eV per atom
crystal system = orthorhombic
energy above the most stable polymorph in this dataset = 0 meV per atom

---

First-principles (GGA-PBE) data for an optimized crystal structure of Tm3Al2Ga3, as listed in the Alexandria database.

a b c (Å): 4.284 5.821 14.329
angles (deg): 90.00 90.00 111.59
Fractional positions:
Tm1 0.073 0.145 0.616
Tm2 0.643 0.287 0.250
Tm3 0.927 0.855 0.384
Tm4 0.357 0.713 0.750
Tm5 0.927 0.855 0.116
Tm6 0.073 0.145 0.884
Ga1 0.390 0.779 0.960
Ga2 0.610 0.221 0.040
Ga3 0.644 0.287 0.750
Ga4 0.356 0.713 0.250
Ga5 0.610 0.221 0.460
Ga6 0.390 0.779 0.540
Al1 0.217 0.435 0.401
Al2 0.783 0.565 0.901
Al3 0.783 0.565 0.599
Al4 0.217 0.435 0.099

Values from the calculation:
energy relative to the elements = -0.57 eV/atom
VASP energy = -4.314 eV per atom
crystal system = orthorhombic

---

First-principles (GGA-PBE) data for an optimized crystal structure of TmAl2Ga4, as listed in the Alexandria database.

a b c (Å): 4.131 4.131 10.329
angles (deg): 78.46 78.46 60.00
Fractional positions:
Ga1 0.099 0.099 0.702
Ga2 0.274 0.274 0.178
Ga3 0.901 0.901 0.298
Ga4 0.726 0.726 0.822
Al1 0.188 0.188 0.436
Al2 0.812 0.812 0.564
Tm1 0.000 0.000 0.000

Values from the calculation:
energy relative to the elements = -0.16 eV/atom
VASP energy = -3.595 eV per atom
crystal system = trigonal
energy above the most stable polymorph in this dataset = 0 meV per atom

---

First-principles (GGA-PBE) data for an optimized crystal structure of Tm4AlGa, as listed in the Alexandria database.

a b c (Å): 5.889 8.329 8.002
angles (deg): 114.93 103.19 105.59
Fractional positions:
Ga1 0.751 0.001 0.001
Ga2 0.249 0.999 0.999
Al1 0.625 0.375 0.750
Al2 0.375 0.625 0.250
Tm1 0.041 0.223 0.851
Tm2 0.225 0.301 0.363
Tm3 0.362 0.938 0.637
Tm4 0.775 0.699 0.637
Tm5 0.638 0.062 0.363
Tm6 0.310 0.628 0.851
Tm7 0.959 0.777 0.149
Tm8 0.690 0.372 0.149

Values from the calculation:
energy relative to the elements = -0.28 eV/atom
VASP energy = -4.387 eV per atom
crystal system = monoclinic

---

First-principles (GGA-PBE) data for an optimized crystal structure of TmAl2Ga, as listed in the Alexandria database.

a b c (Å): 4.278 4.197 4.197
angles (deg): 90.00 90.00 90.00
Fractional positions:
Tm1 0.500 0.500 0.500
Al1 0.000 0.500 0.000
Al2 0.000 0.000 0.500
Ga1 0.500 0.000 0.000

Values from the calculation:
energy relative to the elements = -0.44 eV/atom
VASP energy = -4.186 eV per atom
crystal system = tetragonal

---

First-principles (GGA-PBE) data for an optimized crystal structure of TmAl2Ga3, as listed in the Alexandria database.

a b c (Å): 5.427 5.812 7.947
angles (deg): 111.41 89.99 90.00
Fractional positions:
Ga1 0.250 0.588 0.687
Ga2 0.250 0.096 0.687
Ga3 0.750 0.847 0.695
Ga4 0.750 0.904 0.313
Ga5 0.750 0.412 0.313
Ga6 0.250 0.153 0.305
Al1 0.500 0.737 0.000
Al2 0.000 0.737 0.000
Al3 0.500 0.263 0.000
Al4 0.000 0.263 0.000
Tm1 0.250 0.671 0.342
Tm2 0.750 0.329 0.658

Values from the calculation:
energy relative to the elements = -0.20 eV/atom
VASP energy = -3.709 eV per atom
crystal system = monoclinic
energy above the most stable polymorph in this dataset = 84 meV per atom

---

What did the fifth record say?
First-principles (GGA-PBE) data for an optimized crystal structure of TmAl2Ga, as listed in the Alexandria database.

a b c (Å): 4.278 4.197 4.197
angles (deg): 90.00 90.00 90.00
Fractional positions:
Tm1 0.500 0.500 0.500
Al1 0.000 0.500 0.000
Al2 0.000 0.000 0.500
Ga1 0.500 0.000 0.000

Values from the calculation:
energy relative to the elements = -0.44 eV/atom
VASP energy = -4.186 eV per atom
crystal system = tetragonal

---

- Which value of energy relative to the elements does entry 6 give?
  -0.20 eV/atom